[1]
Below is crystalline UPa2Ga9 at its relaxed geometry, with properties calculated at the PBE level.

Cell: 4.289 4.289 12.875 Å, 90.00 90.00 90.00°
Fractional positions:
U (0.000, 0.000, 0.000)
Pa (0.000, 0.000, 0.333)
Pa (0.000, 0.000, 0.667)
Ga (0.000, 0.500, 0.164)
Ga (0.000, 0.500, 0.500)
Ga (0.000, 0.500, 0.836)
Ga (0.500, 0.000, 0.164)
Ga (0.500, 0.000, 0.500)
Ga (0.500, 0.000, 0.836)
Ga (0.500, 0.500, 0.000)
Ga (0.500, 0.500, 0.333)
Ga (0.500, 0.500, 0.667)

- SG = No. 123
- E_form (eV per atom) = -0.326

---

[2]
Below is crystalline TaSnBiRu at its relaxed geometry, with properties calculated at the PBE level.

Cell: 3.144 6.972 6.972 Å, 36.48 90.00 90.00°
Fractional positions:
Ta (0.000, 0.000, 0.000)
Sn (0.000, 0.350, 0.350)
Bi (0.500, 0.620, 0.620)
Ru (0.500, 0.840, 0.840)

- SG = No. 38
- E_form (eV per atom) = 0.179

---

[3]
Below is crystalline Ce3Er2ThTe6 at its relaxed geometry, with properties calculated at the PBE level.

Cell: 9.899 9.899 8.948 Å, 102.91 102.91 25.59°
Fractional positions:
Ce (0.000, 0.000, 0.000)
Ce (0.338, 0.338, 0.666)
Ce (0.662, 0.662, 0.334)
Er (0.334, 0.334, 0.168)
Er (0.666, 0.666, 0.832)
Th (0.000, 0.000, 0.500)
Te (0.170, 0.170, 0.076)
Te (0.170, 0.170, 0.596)
Te (0.494, 0.494, 0.245)
Te (0.506, 0.506, 0.755)
Te (0.830, 0.830, 0.404)
Te (0.830, 0.830, 0.924)

- SG = No. 12
- ΔE_f (raw) (eV per atom) = -1.264